## ZnSn2WSe (GGA-PBE)

Data for a relaxed ZnSn2WSe crystal.

```
ZnSn2WSe
1.0
5.064 0.000 0.000
0.000 4.986 0.000
0.000 0.000 5.064
Zn Se Sn W
1 1 2 1
direct
0.000 0.000 0.000
0.500 0.500 0.500
0.000 0.000 0.500
0.500 0.000 0.000
0.000 0.500 0.000
```

Results
The calculation puts the total magnetic moment at 2.62 μB per formula unit. The space-group type is P4/mmm. As for the calculated volume: 25.6 Å³ per atom. Its crystal system is tetragonal. As for the total energy: -3.95 eV per atom.

## Ba12Sb3Se5 (GGA-PBE)

Data for a relaxed Ba12Sb3Se5 crystal.

```
Ba12Sb3Se5
1.0
17.022 0.000 0.000
-5.674 16.049 0.000
-5.674 -8.024 13.898
Sb Se Ba
12 20 48
direct
0.750 0.375 0.125
0.875 0.750 0.125
0.375 0.750 0.625
0.250 0.125 0.375
0.875 0.125 0.250
0.375 0.625 0.250
0.625 0.375 0.750
0.125 0.875 0.750
0.750 0.875 0.625
0.625 0.250 0.375
0.125 0.250 0.875
0.250 0.625 0.875
0.125 0.375 0.250
0.000 0.500 0.000
0.000 0.000 0.000
0.375 0.250 0.125
0.500 0.000 0.500
0.500 0.500 0.000
0.125 0.750 0.375
0.750 0.125 0.875
0.750 0.625 0.375
0.375 0.125 0.750
0.625 0.875 0.250
0.500 0.500 0.500
0.500 0.000 0.000
0.000 0.000 0.500
0.250 0.375 0.625
0.250 0.875 0.125
0.000 0.500 0.500
0.875 0.250 0.625
0.625 0.750 0.875
0.875 0.625 0.750
0.719 0.133 0.045
0.327 0.545 0.412
0.955 0.367 0.281
0.545 0.219 0.133
0.586 0.719 0.673
0.955 0.588 0.173
0.327 0.781 0.414
0.088 0.914 0.133
0.588 0.955 0.673
0.719 0.586 0.173
0.781 0.455 0.367
0.827 0.912 0.045
0.133 0.719 0.545
0.367 0.412 0.086
0.086 0.912 0.367
0.414 0.133 0.588
0.086 0.173 0.219
0.455 0.673 0.088
0.827 0.914 0.281
0.133 0.414 0.088
0.367 0.955 0.781
0.588 0.633 0.414
0.912 0.827 0.545
0.781 0.327 0.914
0.412 0.367 0.586
0.088 0.173 0.455
0.219 0.673 0.086
0.173 0.086 0.719
0.633 0.045 0.219
0.867 0.586 0.912
0.545 0.327 0.912
0.586 0.867 0.412
0.914 0.827 0.781
0.914 0.088 0.633
0.867 0.281 0.455
0.173 0.088 0.955
0.633 0.588 0.914
0.412 0.045 0.327
0.281 0.414 0.827
0.219 0.545 0.633
0.912 0.086 0.867
0.673 0.219 0.586
0.455 0.781 0.867
0.045 0.412 0.827
0.414 0.281 0.327
0.045 0.633 0.719
0.673 0.455 0.588
0.281 0.867 0.955
```

Results
The calculation puts the total magnetic moment at 0.00 μB per formula unit. The space-group type is Ia-3d. As for the calculated volume: 47.5 Å³ per atom. Its crystal system is cubic. As for the total energy: -3.87 eV per atom.

## CrMo2HPd (GGA-PBE)

Data for a relaxed CrMo2HPd crystal.

```
CrMo2HPd
1.0
3.952 0.000 0.000
0.000 3.952 0.000
0.000 0.000 3.891
Cr Mo Pd H
1 2 1 1
direct
0.000 0.000 0.500
0.000 0.500 0.000
0.500 0.000 0.000
0.500 0.500 0.500
0.000 0.000 0.000
```

Results
The calculation puts the total magnetic moment at 0.55 μB per formula unit. The space-group type is P4/mmm. As for the calculated volume: 12.2 Å³ per atom. Its crystal system is tetragonal. As for the total energy: -7.87 eV per atom.

- What is the total magnetic moment in the third record?
  0.55 μB per formula unit

- Which value of calculated volume does entry 2 give?
  47.5 Å³ per atom

- The lowest total magnetic moment belongs to which entry?
  Ba12Sb3Se5